A plane-wave DFT calculation with PBE was carried out for an optimized crystal structure of Ca2Si3Pd5.

Computed properties:
As for the raw total energy: -0.3949 Ry/atom. For the volume, the calculation gives 18.414 Å³ per atom. As for the total magnetization: 0.0 μB/cell. The symmetry is No. 72.

abc: 6.5060 8.3263 8.3263
angles: 67.71 67.00 67.00
Positions (direct):
Ca 0.3670 0.8828 0.3832
Ca 0.6330 0.1172 0.6168
Ca 0.8670 0.3832 0.8828
Ca 0.1330 0.6168 0.1172
Pd 0.7500 0.5000 0.5000
Pd 0.4843 0.2657 0.2657
Pd 0.1056 0.0219 0.7668
Pd 0.2500 0.5000 0.5000
Pd 0.0157 0.7343 0.7343
Pd 0.3944 0.2332 0.9781
Pd 0.6056 0.7668 0.0219
Pd 0.9843 0.2657 0.2657
Pd 0.8944 0.9781 0.2332
Pd 0.5157 0.7343 0.7343
Si 0.3776 0.5047 0.7401
Si 0.7500 0.0000 0.0000
Si 0.6224 0.4953 0.2599
Si 0.8776 0.7401 0.5047
Si 0.1224 0.2599 0.4953
Si 0.2500 0.0000 0.0000